(1)
Material: Hf5AlSn
Method: DFT, PBE
State: optimized geometry

VASP energy: -114.82 eV per cell
Space-group type: C2/c (15)
Calculated formation energy: 10 kJ/mol of formula units
Total magnetic moment: 0.00 μB/cell

abc: 5.6609 5.6609 11.1122
angles: 83.65 83.65 61.71
Atoms (fractional coordinates):
Hf: 0.3038 0.6962 0.2500
Hf: 0.6962 0.3038 0.7500
Hf: 0.6040 0.7226 0.9392
Hf: 0.3960 0.2774 0.0608
Hf: 0.3068 0.1699 0.3299
Hf: 0.2774 0.3960 0.5608
Hf: 0.7226 0.6040 0.4392
Hf: 0.8301 0.6932 0.1701
Hf: 0.6932 0.8301 0.6701
Hf: 0.1699 0.3068 0.8299
Sn: 0.8088 0.1912 0.2500
Sn: 0.1912 0.8088 0.7500
Al: 0.0000 0.0000 0.5000
Al: 0.0000 0.0000 0.0000

(2)
Material: Hf5AlSn2
Method: DFT, PBE
State: optimized geometry

VASP energy: -120.25 eV per cell
Space-group type: Cmcm (63)
Calculated formation energy: 134 kJ/mol of formula units
Total magnetic moment: 0.00 μB/cell

abc: 4.8597 7.2787 12.0826
angles: 90.00 90.00 109.50
Atoms (fractional coordinates):
Hf: 0.3092 0.6184 0.4877
Hf: 0.1078 0.2156 0.3767
Hf: 0.8922 0.7844 0.6233
Hf: 0.8922 0.7844 0.8767
Hf: 0.6892 0.3783 0.2500
Hf: 0.1078 0.2156 0.1233
Hf: 0.6908 0.3816 0.9877
Hf: 0.6908 0.3816 0.5123
Hf: 0.3108 0.6217 0.7500
Hf: 0.3092 0.6184 0.0123
Sn: 0.1077 0.2155 0.6259
Sn: 0.8923 0.7845 0.1259
Sn: 0.1077 0.2155 0.8741
Sn: 0.8923 0.7845 0.3741
Al: 0.3021 0.6043 0.2500
Al: 0.6979 0.3957 0.7500

(3)
Material: Hf7Al5Sn
Method: DFT, PBE
State: optimized geometry

VASP energy: -94.72 eV per cell
Space-group type: Imm2 (44)
Calculated formation energy: -225 kJ/mol of formula units
Total magnetic moment: 0.00 μB/cell

abc: 5.4562 7.4990 7.4990
angles: 79.04 68.67 68.67
Atoms (fractional coordinates):
Al: 0.7523 0.7477 0.7477
Al: 0.5058 0.9930 0.4985
Al: 0.0028 0.4985 0.9930
Al: 0.0028 0.9930 0.4985
Al: 0.5058 0.4985 0.9930
Hf: 0.0056 0.3385 0.6503
Hf: 0.5101 0.1648 0.8150
Hf: 0.3541 0.6459 0.6459
Hf: 0.5101 0.8150 0.1648
Hf: 0.2701 0.2299 0.2299
Hf: 0.0056 0.6503 0.3385
Hf: 0.6286 0.3714 0.3714
Sn: 0.9463 0.0537 0.0537

(4)
Material: Hf3AlSn
Method: DFT, PBE
State: optimized geometry

Relative energy among the computed polymorphs: 389 meV per atom
VASP energy: -35.21 eV per cell
Space-group type: Pm-3m (221)
Calculated formation energy: 231 kJ/mol of formula units
Total magnetic moment: 0.00 μB/cell

abc: 4.9396 4.9396 4.9396
angles: 90.00 90.00 90.00
Atoms (fractional coordinates):
Hf: 0.0000 0.0000 0.5000
Hf: 0.5000 0.0000 0.0000
Hf: 0.0000 0.5000 0.0000
Sn: 0.5000 0.5000 0.5000
Al: 0.0000 0.0000 0.0000

(5)
Material: Hf2AlSn2
Method: DFT, PBE
State: optimized geometry

Relative energy among the computed polymorphs: 111 meV per atom
VASP energy: -63.46 eV per cell
Space-group type: P4/mbm (127)
Calculated formation energy: -7 kJ/mol of formula units
Total magnetic moment: 0.00 μB/cell

abc: 7.3819 7.3819 4.0264
angles: 90.00 90.00 90.00
Atoms (fractional coordinates):
Sn: 0.1475 0.3525 0.0000
Sn: 0.8525 0.6475 0.0000
Sn: 0.6475 0.1475 0.0000
Sn: 0.3525 0.8525 0.0000
Hf: 0.8455 0.3455 0.5000
Hf: 0.1545 0.6545 0.5000
Hf: 0.6545 0.8455 0.5000
Hf: 0.3455 0.1545 0.5000
Al: 0.5000 0.5000 0.0000
Al: 0.0000 0.0000 0.0000

(6)
Material: Hf4AlSn2
Method: DFT, PBE
State: optimized geometry

VASP energy: -106.56 eV per cell
Space-group type: I-42d (122)
Calculated formation energy: -166 kJ/mol of formula units
Total magnetic moment: 0.00 μB/cell

abc: 7.3656 7.3656 7.3657
angles: 109.87 109.87 108.67
Atoms (fractional coordinates):
Hf: 0.5257 0.7811 0.8904
Hf: 0.0313 0.2759 0.3906
Hf: 0.3593 0.9689 0.2446
Hf: 0.7243 0.1147 0.7554
Hf: 0.3647 0.4741 0.2554
Hf: 0.8853 0.6407 0.6094
Hf: 0.8907 0.6353 0.1096
Hf: 0.2187 0.1093 0.7446
Al: 0.2501 0.7501 0.5000
Al: 0.9999 0.9999 0.0000
Sn: 0.6250 0.2581 0.1330
Sn: 0.1250 0.4919 0.8669
Sn: 0.5083 0.3750 0.6332
Sn: 0.7418 0.8750 0.3668

(7)
Material: Hf2AlSn2
Method: DFT, PBE
State: optimized geometry

Relative energy among the computed polymorphs: 0 meV per atom
VASP energy: -64.57 eV per cell
Space-group type: P4/mbm (127)
Calculated formation energy: -61 kJ/mol of formula units
Total magnetic moment: 0.00 μB/cell

abc: 7.2982 7.2982 4.2538
angles: 90.00 90.00 90.00
Atoms (fractional coordinates):
Sn: 0.6524 0.8476 0.5000
Sn: 0.1524 0.6524 0.5000
Sn: 0.3476 0.1524 0.5000
Sn: 0.8476 0.3476 0.5000
Hf: 0.1563 0.3437 0.0000
Hf: 0.3437 0.8437 0.0000
Hf: 0.8437 0.6563 0.0000
Hf: 0.6563 0.1563 0.0000
Al: 0.0000 0.0000 0.0000
Al: 0.5000 0.5000 0.0000

(8)
Material: Hf6Al3Sn
Method: DFT, PBE
State: optimized geometry

VASP energy: -151.25 eV per cell
Space-group type: Cmc2_1 (36)
Calculated formation energy: -65 kJ/mol of formula units
Total magnetic moment: 0.00 μB/cell

abc: 6.5249 8.3719 8.3719
angles: 109.73 90.00 90.00
Atoms (fractional coordinates):
Al: 0.9424 0.7328 0.9926
Al: 0.8199 0.5519 0.4481
Al: 0.9424 0.0074 0.2672
Al: 0.3199 0.4481 0.5519
Al: 0.4424 0.2672 0.0074
Al: 0.4424 0.9926 0.7328
Hf: 0.7648 0.0331 0.9669
Hf: 0.2648 0.9669 0.0331
Hf: 0.2805 0.5311 0.9180
Hf: 0.0975 0.7581 0.6897
Hf: 0.5975 0.2419 0.3103
Hf: 0.7805 0.4689 0.0820
Hf: 0.6902 0.3066 0.6934
Hf: 0.2805 0.0820 0.4689
Hf: 0.0975 0.3103 0.2419
Hf: 0.1902 0.6934 0.3066
Hf: 0.7805 0.9180 0.5311
Hf: 0.5975 0.6897 0.7581
Sn: 0.5697 0.8185 0.1815
Sn: 0.0697 0.1815 0.8185

(9)
Material: Hf3AlSn
Method: DFT, PBE
State: optimized geometry

Relative energy among the computed polymorphs: 0 meV per atom
VASP energy: -74.31 eV per cell
Space-group type: P6_3/mmc (194)
Calculated formation energy: 43 kJ/mol of formula units
Total magnetic moment: 0.00 μB/cell

abc: 5.3905 6.9025 6.9025
angles: 119.99 90.00 90.00
Atoms (fractional coordinates):
Hf: 0.7500 0.1906 0.3810
Hf: 0.2500 0.3810 0.1906
Hf: 0.2500 0.8094 0.6190
Hf: 0.2500 0.8095 0.1905
Hf: 0.7500 0.1905 0.8095
Hf: 0.7500 0.6190 0.8094
Al: 0.0000 0.0000 0.0000
Al: 0.5000 0.0000 0.0000
Sn: 0.2500 0.3334 0.6666
Sn: 0.7500 0.6666 0.3334

(10)
Material: HfAlSn
Method: DFT, PBE
State: optimized geometry

VASP energy: -17.81 eV per cell
Space-group type: P-6m2 (187)
Calculated formation energy: -11 kJ/mol of formula units
Total magnetic moment: 0.00 μB/cell

abc: 2.9474 4.9018 4.9018
angles: 120.00 90.00 90.00
Atoms (fractional coordinates):
Al: 0.4990 0.3333 0.6667
Hf: 0.0001 0.0000 0.0000
Sn: 0.5009 0.6667 0.3333